The following is a PBE-GGA calculation of a relaxed structure of Li2TmCuAu4, from the Alexandria database.

The structure in extended XYZ format:
```
8
Lattice="2.249 1.299 8.031 -2.249 1.299 8.031 0.000 -2.597 8.031" Properties=species:S:1:pos:R:3 pbc="T T T"
Li 0.000 0.000 5.780
Li 0.000 0.000 18.312
Tm 0.000 0.000 0.000
Cu 0.000 0.000 12.046
Au 0.000 0.000 3.052
Au 0.000 0.000 9.431
Au 0.000 0.000 14.662
Au 0.000 0.000 21.041
```

Results
Uncorrected energy = -3.702 eV/atom
Formation energy from the elements = -0.51 eV/atom
Crystal system = trigonal